Tb2Nd5Dy6 after structural relaxation. Source: the Alexandria database, functional GGA-PBE.

```
data_Tb2Nd5Dy6
_space_group_name_H-M_alt 'P 1'
_space_group_IT_number 1
_cell_length_a 11.698
_cell_length_b 20.617
_cell_length_c 3.608
_cell_angle_alpha 90.00
_cell_angle_beta 90.00
_cell_angle_gamma 90.00
loop_
_space_group_symop_operation_xyz
'x,y,z'
loop_
_atom_site_label
_atom_site_fract_x
_atom_site_fract_y
_atom_site_fract_z
Tb1 0.171 0.211 0.000
Tb2 0.329 0.711 0.000
Tb3 0.671 0.289 0.000
Tb4 0.829 0.789 0.000
Nd1 0.000 0.500 0.500
Nd2 0.084 0.773 0.500
Nd3 0.199 0.050 0.500
Nd4 0.301 0.550 0.500
Nd5 0.416 0.273 0.500
Nd6 0.500 0.000 0.500
Nd7 0.584 0.727 0.500
Nd8 0.699 0.450 0.500
Nd9 0.801 0.950 0.500
Nd10 0.916 0.227 0.500
Dy1 0.061 0.919 0.000
Dy2 0.081 0.632 0.000
Dy3 0.175 0.363 0.500
Dy4 0.325 0.863 0.500
Dy5 0.419 0.132 0.000
Dy6 0.439 0.419 0.000
Dy7 0.561 0.581 0.000
Dy8 0.581 0.868 0.000
Dy9 0.675 0.137 0.500
Dy10 0.825 0.637 0.500
Dy11 0.919 0.368 0.000
Dy12 0.939 0.081 0.000
```

Output
- ΔE_f: 0.092 eV/atom
- Total energy: -4.58 eV/atom
- Crystal system: orthorhombic